An optimized crystal structure of Mg6TlCd2, computed with GGA-PBE.

Volume ... 204 Å³/cell
Energy above the lowest structure with this stoichiometry ... 0 meV/atom
E_tot ... -1.585 eV per atom

Lattice parameters (Å, degrees): 7.2795 7.2795 7.3776 108.25 108.25 33.52
Positions (direct):
Mg 0.0516 0.0516 0.3389
Mg 0.1656 0.1656 0.9934
Mg 0.2771 0.2771 0.6659
Mg 0.7229 0.7229 0.3341
Mg 0.8344 0.8344 0.0066
Mg 0.9484 0.9484 0.6611
Tl 0.5000 0.5000 0.0000
Cd 0.3802 0.3802 0.3401
Cd 0.6198 0.6198 0.6599

---

An optimized crystal structure of SiAu5, computed with GGA-PBE.

Volume ... 106 Å³/cell
E_tot ... -3.546 eV per atom
Uncorrected formation energy ... 0.09 eV/atom

Lattice parameters (Å, degrees): 5.1915 5.1915 4.5379 90.00 90.00 120.00
Positions (direct):
Si 0.0000 0.0000 0.0000
Au 0.0000 0.6812 0.5000
Au 0.3188 0.3188 0.5000
Au 0.3333 0.6667 0.0000
Au 0.6667 0.3333 0.0000
Au 0.6812 0.0000 0.5000

---

Q: What is the formula in the second record?
A: SiAu5

---

Q: Among the records above, which one has the lowest volume?
A: SiAu5

---

Q: Among the records above, which one has the highest E_tot?
A: Mg6TlCd2

---

Q: The lowest volume belongs to which entry?
A: SiAu5